Ca2BeCu2: relaxed, PBE.

Calculated values
**Formation enthalpy at 0 K**: 0.13 eV/atom
**Energy relative to the lowest polymorph listed for this composition**: 0.000 eV per atom

Lattice parameters (Å, degrees): 6.8778 6.8778 4.2891 90.00 90.00 90.00
Last column: nearest neighbours and their distance in Å.
Fractional positions:
1 Ca 0.1792 0.3208 0.0000  6 Cu 2.84-3.04
2 Ca 0.3208 0.8208 0.0000  6 Cu 2.84-3.04
3 Ca 0.6792 0.1792 0.0000  6 Cu 2.84-3.04
4 Ca 0.8208 0.6792 0.0000  6 Cu 2.84-3.04
5 Be 0.0000 0.0000 0.5000  4 Cu 2.70
6 Be 0.5000 0.5000 0.5000  4 Cu 2.70
7 Cu 0.1291 0.6291 0.5000  1 Cu 2.51, 2 Be 2.70
8 Cu 0.3709 0.1291 0.5000  1 Cu 2.51, 2 Be 2.70
9 Cu 0.6291 0.8709 0.5000  1 Cu 2.51, 2 Be 2.70
10 Cu 0.8709 0.3709 0.5000  1 Cu 2.51, 2 Be 2.70

=====

SbMoPdI2: relaxed, PBE.

Calculated values
**Energy relative to the lowest polymorph listed for this composition**: 0.120 eV per atom

Lattice parameters (Å, degrees): 5.4579 5.4579 5.2812 90.00 90.00 90.00
Last column: nearest neighbours and their distance in Å.
Fractional positions:
1 Sb 0.0000 0.0000 0.0000  2 Pd 2.64
2 Mo 0.5000 0.5000 0.0000  8 I 3.80, 4 Sb 3.86
3 Pd 0.0000 0.0000 0.5000  2 Sb 2.64, 4 I 2.73
4 I 0.0000 0.5000 0.5000  2 Pd 2.73
5 I 0.5000 0.0000 0.5000  2 Pd 2.73

=====

Ac4PdPt3: relaxed, PBE.

Calculated values
**Formation enthalpy at 0 K**: -1.08 eV/atom
**Energy relative to the lowest polymorph listed for this composition**: 0.006 eV per atom

Lattice parameters (Å, degrees): 4.1409 4.6835 11.5938 90.00 90.00 90.00
Last column: nearest neighbours and their distance in Å.
Fractional positions:
1 Ac 0.0000 0.0000 0.0000  6 Pt 3.16-3.32, 1 Pd 3.25
2 Ac 0.0000 0.5000 0.2668  7 Pt 3.16-3.36
3 Ac 0.5000 0.0000 0.4952  5 Pt 3.14-3.17, 2 Pd 3.33
4 Ac 0.5000 0.5000 0.7662  3 Pt 3.16-3.31, 4 Pd 3.17
5 Pd 0.0000 0.0000 0.7200  2 Pt 3.11, 7 Ac 3.17-3.33
6 Pt 0.0000 0.5000 0.5432  2 Pd 3.11, 7 Ac 3.17-3.31
7 Pt 0.5000 0.0000 0.2241  7 Ac 3.14-3.32, 2 Pt 3.18
8 Pt 0.5000 0.5000 0.0388  7 Ac 3.16-3.36, 2 Pt 3.18

=====

Ce5ErIn2: relaxed, PBE.

Calculated values
**Formation enthalpy at 0 K**: -0.20 eV/atom

Lattice parameters (Å, degrees): 6.8561 13.7492 4.6283 90.00 90.00 90.00
Last column: nearest neighbours and their distance in Å.
Fractional positions:
1 Ce 0.0000 0.0000 0.0000  6 Ce 3.20-3.38, 4 In 3.34, 2 Er 3.43
2 Ce 0.0367 0.2322 0.0000  3 Ce 2.96-3.20
3 Ce 0.2288 0.1387 0.5000  2 Ce 2.96
4 Ce 0.2712 0.6387 0.5000  2 Ce 2.96
5 Ce 0.4633 0.7322 0.0000  3 Ce 2.96-3.20
6 Ce 0.5000 0.5000 0.0000  6 Ce 3.20-3.38, 4 In 3.34, 2 Er 3.43
7 Ce 0.5367 0.2678 0.0000  3 Ce 2.96-3.20
8 Ce 0.7288 0.3613 0.5000  2 Ce 2.96
9 Ce 0.7712 0.8613 0.5000  2 Ce 2.96
10 Ce 0.9633 0.7678 0.0000  3 Ce 2.96-3.20
11 Er 0.0000 0.5000 0.0000  4 In 3.25, 6 Ce 3.43-3.53
12 Er 0.5000 0.0000 0.0000  4 In 3.25, 6 Ce 3.43-3.53
13 In 0.2371 0.3834 0.5000  2 Er 3.25, 10 Ce 3.34-3.52
14 In 0.2629 0.8834 0.5000  2 Er 3.25, 10 Ce 3.34-3.52
15 In 0.7371 0.1166 0.5000  2 Er 3.25, 10 Ce 3.34-3.52
16 In 0.7629 0.6166 0.5000  2 Er 3.25, 10 Ce 3.34-3.52

=====

Sr2Sc2Ni: relaxed, PBE.

Calculated values
**Formation enthalpy at 0 K**: 0.21 eV/atom
**Energy relative to the lowest polymorph listed for this composition**: 0.000 eV per atom

Lattice parameters (Å, degrees): 6.9664 6.9664 6.0528 90.00 90.00 90.00
Last column: nearest neighbours and their distance in Å.
Fractional positions:
1 Sr 0.1826 0.3174 0.0000  2 Sc 3.38, 5 Sr 3.60-3.61
2 Sr 0.3174 0.8174 0.0000  2 Sc 3.38, 5 Sr 3.60-3.61
3 Sr 0.6826 0.1826 0.0000  2 Sc 3.38, 5 Sr 3.60-3.61
4 Sr 0.8174 0.6826 0.0000  2 Sc 3.38, 5 Sr 3.60-3.61
5 Sc 0.1641 0.6641 0.5000  2 Ni 2.60
6 Sc 0.3359 0.1641 0.5000  2 Ni 2.60
7 Sc 0.6641 0.8359 0.5000  2 Ni 2.60
8 Sc 0.8359 0.3359 0.5000  2 Ni 2.60
9 Ni 0.0000 0.0000 0.5000  4 Sc 2.60
10 Ni 0.5000 0.5000 0.5000  4 Sc 2.60

=====

H2PdW: relaxed, PBE.

Calculated values
**Energy relative to the lowest polymorph listed for this composition**: 0.568 eV per atom

Lattice parameters (Å, degrees): 3.7799 3.7799 3.7799 60.00 60.00 60.00
Last column: nearest neighbours and their distance in Å.
Fractional positions:
1 H 0.2500 0.2500 0.2500  4 W 2.31, 4 Pd 2.31
2 H 0.7500 0.7500 0.7500  4 W 2.31, 4 Pd 2.31
3 Pd 0.0000 0.0000 0.0000  8 H 2.31
4 W 0.5000 0.5000 0.5000  8 H 2.31

=====

NaGeHAu2: relaxed, PBE.

Calculated values
**Energy**: -15.93 eV per formula unit

Lattice parameters (Å, degrees): 5.1232 5.1232 3.5387 90.00 90.00 90.00
Last column: nearest neighbours and their distance in Å.
Fractional positions:
1 Na 0.0000 0.0000 0.0000  8 Au 3.11
2 Ge 0.5000 0.5000 0.5000  2 H 1.77
3 H 0.5000 0.5000 0.0000  2 Ge 1.77
4 Au 0.0000 0.5000 0.5000  2 Ge 2.56
5 Au 0.5000 0.0000 0.5000  2 Ge 2.56

=====

Tc2OsSe: relaxed, PBE.

Calculated values
**Energy**: -32.68 eV per formula unit

Lattice parameters (Å, degrees): 6.7595 6.7595 6.7595 131.08 131.08 71.68
Last column: nearest neighbours and their distance in Å.
Fractional positions:
1 Tc 0.1183 0.6250 0.9933  2 Os 2.39, 2 Se 2.43
2 Tc 0.3750 0.3683 0.4933  2 Os 2.39, 2 Se 2.43
3 Tc 0.6317 0.1250 0.0067  2 Os 2.39, 2 Se 2.43
4 Tc 0.8750 0.8817 0.5067  2 Os 2.39, 2 Se 2.43
5 Os 0.0000 0.0000 0.0000  4 Tc 2.39
6 Os 0.7500 0.2500 0.5000  4 Tc 2.39
7 Se 0.2500 0.7500 0.5000  4 Tc 2.43
8 Se 0.5000 0.5000 0.0000  4 Tc 2.43